## ZrPb2Se (PBE)

Data for an optimized crystal structure of ZrPb2Se.

extended XYZ file:
```
4
Lattice="3.5511 0.0000 0.0000 0.0000 5.3161 0.0000 0.0000 0.0000 5.3161" Properties=species:S:1:pos:R:3 pbc="T T T"
Pb 0.0000 0.0000 0.0000
Pb 0.0000 2.6581 2.6581
Se 1.7756 2.6581 0.0000
Zr 1.7756 0.0000 2.6581
```

Summary:
**Formation energy without anion corrections**: -81 meV per atom
**Theoretical density**: 9.7 g cm⁻³
**Volume**: 25.1 A^3/atom

=====

## ThTlOsO6 (PBE)

Data for an optimized crystal structure of ThTlOsO6.

extended XYZ file:
```
18
Lattice="8.1252 0.0000 0.0000 0.0000 7.4281 0.0000 -4.0626 -3.7140 5.6857" Properties=species:S:1:pos:R:3 pbc="T T T"
Th 2.0313 -1.8570 2.8429
Th -2.0313 -1.8570 2.8429
Tl 4.0626 1.8570 4.9524
Tl 0.0000 1.8570 0.7333
Os 4.0626 3.7140 0.0000
Os 4.0626 0.0000 0.0000
O 0.0000 1.8570 5.3174
O 4.0626 -1.8570 3.8793
O 5.4032 -0.2571 1.3007
O 2.7220 3.9711 1.3007
O 2.7220 -0.2571 1.3007
O 5.4032 3.9711 1.3007
O 4.0626 1.8570 0.3683
O 0.0000 5.5711 1.8064
O -1.3406 3.9711 4.3850
O 1.3406 -0.2571 4.3850
O 1.3406 3.9711 4.3850
O -1.3406 -0.2571 4.3850
```

Summary:
**Formation energy without anion corrections**: -1756 meV per atom
**Theoretical density**: 7.0 g cm⁻³
**Volume**: 19.1 A^3/atom

=====

## TaCu3Pd6 (PBE)

Data for an optimized crystal structure of TaCu3Pd6.

extended XYZ file:
```
20
Lattice="6.7554 -0.0506 -0.0518 -0.1972 6.7527 -0.0518 -0.1972 -0.2015 6.7499" Properties=species:S:1:pos:R:3 pbc="T T T"
Ta 0.0000 0.0000 0.0000
Ta 3.1805 3.2503 3.3232
Cu 1.4675 5.7612 5.0351
Cu 5.7280 4.9986 1.7034
Cu 1.4879 4.9270 0.7749
Cu 4.8731 1.5736 5.8715
Cu 0.6329 1.5020 4.9429
Cu 4.8935 0.7393 1.6112
Pd 2.4802 0.9409 0.2857
Pd 5.4741 6.2703 4.1406
Pd 3.2153 5.6052 2.4703
Pd 6.1501 4.0152 5.6993
Pd 2.2750 3.2654 5.6586
Pd 0.8269 4.1049 3.2562
Pd 5.5341 2.3957 3.3901
Pd 4.0859 3.2351 0.9878
Pd 0.2109 2.4854 0.9471
Pd 3.1457 0.8954 4.1761
Pd 0.8869 0.2302 2.5058
Pd 3.8808 5.5596 6.3606
```

Summary:
**Distance to the lowest polymorph of the same formula**: 0.146 eV/atom
**Theoretical density**: 10.9 g cm⁻³
**ΔE_f**: -92 meV/atom
**Volume**: 15.4 A^3/atom

=====

## Zn2InSb (PBE)

Data for an optimized crystal structure of Zn2InSb.

extended XYZ file:
```
4
Lattice="4.3995 0.0000 0.0000 2.1998 3.8101 0.0000 2.1998 1.2700 5.6658" Properties=species:S:1:pos:R:3 pbc="T T T"
Zn 2.1998 1.2700 4.2425
Zn 2.1998 1.2700 1.3939
In 4.3995 2.5401 2.9646
Sb 6.5993 3.8101 5.5634
```

Summary:
**Formation energy without anion corrections**: 92 meV per atom
**Distance to the lowest polymorph of the same formula**: 0.000 eV/atom
**Theoretical density**: 6.4 g cm⁻³
**Volume**: 23.7 A^3/atom

=====

## Pd2Pb2Cl (PBE)

Data for an optimized crystal structure of Pd2Pb2Cl.

extended XYZ file:
```
10
Lattice="-2.9039 -3.7659 -6.2244 6.9721 -3.3542 -1.2233 -0.9564 -2.7596 2.1158" Properties=species:S:1:pos:R:3 pbc="T T T"
Pb 3.6746 -4.2238 -0.7744
Pb 3.4234 -6.6844 -4.0972
Pb -0.5627 -5.6559 -4.5575
Pb -0.3115 -3.1953 -1.2346
Pd 5.0012 -4.3287 -3.3853
Pd 1.8422 -5.3905 -6.1980
Pd -0.9329 -2.7914 -4.0624
Pd 2.2261 -1.7296 -1.2497
Cl 0.0000 0.0000 0.0000
Cl 2.0341 -3.5600 -3.7239
```

Summary:
**Formation energy without anion corrections**: -270 meV per atom
**Distance to the lowest polymorph of the same formula**: 0.000 eV/atom
**Theoretical density**: 9.9 g cm⁻³
**Volume**: 22.1 A^3/atom

=====

## ZrNi2Mo2 (PBE)

Data for an optimized crystal structure of ZrNi2Mo2.

extended XYZ file:
```
10
Lattice="-7.4685 0.7046 -0.7803 -1.0385 -4.0703 6.2640 0.0583 2.2413 1.4660" Properties=species:S:1:pos:R:3 pbc="T T T"
Ni -1.9813 -1.5045 4.8263
Ni -5.8707 -1.7604 5.3720
Ni -6.4674 0.3800 2.1234
Ni -2.5780 0.6359 1.5777
Mo -3.7498 -3.3133 5.2145
Mo -7.2146 -1.9047 3.1987
Mo -4.7571 -0.0524 0.2692
Mo -1.2924 -1.4610 2.2850
Zr 0.0000 0.0000 0.0000
Zr -4.2535 -1.6829 2.7418
```

Summary:
**Distance to the lowest polymorph of the same formula**: 0.036 eV/atom
**Theoretical density**: 8.7 g cm⁻³
**ΔE_f**: 72 meV/atom
**Volume**: 15.2 A^3/atom